# SrAl2Pb2 (PBE-GGA, relaxed)
# Total magnetization in μB per cell: 0.00
# ΔH_f (0 K) in eV per atom: -0.129
# Crystal system: tetragonal
data_SrAl2Pb2
_chemical_formula_sum 'Sr2 Al4 Pb4'
_cell_length_a 5.167
_cell_length_b 5.167
_cell_length_c 10.741
_cell_angle_alpha 90.00
_cell_angle_beta 90.00
_cell_angle_gamma 90.00
_space_group_name_H-M_alt 'I 4/m m m'
_space_group_IT_number 139
_space_group_name_Hall '-I 4 2'
loop_
_atom_site_label
_atom_site_fract_x
_atom_site_fract_y
_atom_site_fract_z
Sr1 0.000 0.000 0.000
Al1 0.000 0.000 0.381
Pb1 0.000 0.500 0.250

# SrAlPb (PBE-GGA, relaxed)
# Total magnetization in μB per cell: 0.00
# ΔH_f (0 K) in eV per atom: -0.212
# Crystal system: orthorhombic
data_SrAlPb
_chemical_formula_sum 'Sr4 Al4 Pb4'
_cell_length_a 4.196
_cell_length_b 5.522
_cell_length_c 16.679
_cell_angle_alpha 90.00
_cell_angle_beta 90.00
_cell_angle_gamma 90.00
_space_group_name_H-M_alt 'I m m m'
_space_group_IT_number 71
_space_group_name_Hall '-I 2 2'
loop_
_atom_site_label
_atom_site_fract_x
_atom_site_fract_y
_atom_site_fract_z
Sr1 0.000 0.000 0.149
Al1 0.000 0.262 0.500
Pb1 0.000 0.000 0.354

# Sr3AlPb2 (PBE-GGA, relaxed)
# Total magnetization in μB per cell: 0.00
# ΔH_f (0 K) in eV per atom: -0.431
# Crystal system: orthorhombic
data_Sr3AlPb2
_chemical_formula_sum 'Sr12 Al4 Pb8'
_cell_length_a 13.353
_cell_length_b 4.715
_cell_length_c 13.669
_cell_angle_alpha 90.00
_cell_angle_beta 90.00
_cell_angle_gamma 90.00
_space_group_name_H-M_alt 'P n m a'
_space_group_IT_number 62
loop_
_space_group_symop_operation_xyz
'x,y,z'
'-x,-y,-z'
'-x+1/2,-y,z+1/2'
'x+1/2,y,-z+1/2'
'x+1/2,-y+1/2,-z+1/2'
'-x+1/2,y+1/2,z+1/2'
'-x,y+1/2,-z'
'x,-y+1/2,z'
loop_
_atom_site_label
_atom_site_fract_x
_atom_site_fract_y
_atom_site_fract_z
Sr1 0.065 0.250 0.119
Sr2 0.122 0.750 0.552
Sr3 0.204 0.250 0.794
Al1 0.140 0.250 0.355
Pb1 0.024 0.750 0.316
Pb2 0.195 0.750 0.988